{"formula": "NiMoRh", "functional": "SCAN", "state": "PBEsol geometry", "cell": [[4.1621, 0.0000, 0.0000], [-2.0811, 3.6045, 0.0000], [0.0000, 0.0000, 2.6315]], "species": ["Ni", "Mo", "Rh"], "fractional_positions": [[0.0000, 0.0000, 0.0000], [0.3333, 0.6667, 0.9939], [0.6667, 0.3333, 0.4958]], "magnetic_moment_mub_per_fu": 0.00, "e_above_lowest_polymorph_ev_per_atom": 0.147, "formation_energy_ev_per_atom": 0.01, "e_tot_ev_per_atom": -28.27}

***

{"formula": "YFeCl2", "functional": "SCAN", "state": "PBEsol geometry", "cell": [[6.1492, -1.7622, 0.0000], [6.1492, 1.7622, 0.0000], [-0.0465, 0.0000, 4.2336]], "species": ["Y", "Fe", "Cl", "Cl"], "fractional_positions": [[0.0000, 0.0000, 0.0000], [0.5000, 0.5000, 0.5000], [0.3494, 0.3494, 0.7624], [0.6506, 0.6506, 0.2376]], "magnetic_moment_mub_per_fu": 1.26, "e_form_raw_ev_per_atom": -0.943, "e_above_lowest_polymorph_ev_per_atom": 0.119, "e_tot_ev_per_atom": -16.42}